Compound: LaCeZnRu
Source: Alexandria via LeMat-Bulk
Functional: PBE-GGA
Structure: relaxed

- ΔH_f (0 K): -0.86 eV/f.u.
- E: -5.568 eV per atom

a b c (Å): 7.1709 7.1709 7.1709
angles (deg): 90.00 90.00 90.00
Space group F-43m (No. 216)
One atom of each set of equivalent atoms:
La  0.0000  0.0000  0.0000 x4
Ce  0.0000  0.0000  0.5000 x4
Zn  0.2500  0.2500  0.7500 x4
Ru  0.2500  0.2500  0.2500 x4

=====

Compound: Li2CeCoH8
Source: Alexandria via LeMat-Bulk
Functional: PBE-GGA
Structure: relaxed

- E: -4.020 eV per atom

a b c (Å): 4.3246 4.3246 6.0021
angles (deg): 90.00 90.00 120.00
Space group P-3m1 (No. 164)
One atom of each set of equivalent atoms:
Li  0.3333  0.6667  0.3897 x2
Ce  0.0000  0.0000  0.0000 x1
Co  0.0000  0.0000  0.5000 x1
H  0.1642  0.3283  0.6530 x6
H  0.3333  0.6667  0.0550 x2

=====

Compound: Sr2AsF
Source: Alexandria via LeMat-Bulk
Functional: PBE-GGA
Structure: relaxed

- Formation energy (no corrections): -43.6 kcal/mol of atoms
- E: -4.363 eV per atom
- Energy relative to the lowest polymorph listed for this composition: 0.180 eV per atom

a b c (Å): 7.3477 7.3477 7.3477
angles (deg): 90.00 90.00 90.00
Space group Fm-3m (No. 225)
One atom of each set of equivalent atoms:
Sr  0.2500  0.2500  0.2500 x8
As  0.0000  0.0000  0.0000 x4
F  0.0000  0.0000  0.5000 x4

=====

Compound: Rb2SiAs
Source: Alexandria via LeMat-Bulk
Functional: PBE-GGA
Structure: relaxed

- Formation energy (no corrections): 11.7 kcal/mol of atoms
- E: -2.495 eV per atom
- Energy relative to the lowest polymorph listed for this composition: 0.612 eV per atom

a b c (Å): 8.2422 8.2422 8.2422
angles (deg): 90.00 90.00 90.00
Space group Fm-3m (No. 225)
One atom of each set of equivalent atoms:
Rb  0.2500  0.2500  0.2500 x8
Si  0.0000  0.0000  0.0000 x4
As  0.0000  0.0000  0.5000 x4